Record 1
Here is NaAsBr4 after structural relaxation from Alexandria. Energies are from PBE-GGA.

Output
Uncorrected formation energy (meV per atom): -788
DFT total energy (eV per cell): -34.8

Lattice parameters (Å, degrees): 7.205 7.023 9.645 104.60 105.33 107.45
Fractional coordinates of all 12 atoms:
Br  0.293  0.574  0.607
Br  0.378  0.139  0.844
Br  0.034  0.295  0.156
Br  0.966  0.705  0.844
Br  0.814  0.033  0.607
Br  0.186  0.967  0.393
Br  0.707  0.426  0.393
Br  0.622  0.861  0.156
Na  0.428  0.678  0.357
Na  0.572  0.322  0.643
As  0.075  0.825  0.651
As  0.925  0.175  0.349

Record 2
Here is Ba2TlCd3In4 after structural relaxation from Alexandria. Energies are from PBE-GGA.

Output
DFT total energy (eV per cell): -23.1
Calculated formation energy (eV per atom): -0.3192

Lattice parameters (Å, degrees): 4.979 4.979 12.303 90.00 90.00 90.00
Fractional coordinates of all 10 atoms:
In  0.500  0.000  0.638
Cd  0.000  0.000  0.500
In  0.000  0.000  0.000
Tl  0.500  0.500  0.500
Cd  0.500  0.000  0.868
In  0.500  0.500  0.000
In  0.000  0.500  0.362
Ba  0.500  0.000  0.250
Ba  0.000  0.500  0.750
Cd  0.000  0.500  0.132

Record 3
Here is NaSi5N7 after structural relaxation from Alexandria. Energies are from PBE-GGA.

Output
Uncorrected formation energy (meV per atom): -1041
DFT total energy (eV per cell): -802.0

Lattice parameters (Å, degrees): 4.909 11.667 20.911 90.00 90.00 90.00
Fractional coordinates of all 104 atoms:
Si  0.725  0.155  0.650
Si  0.471  0.920  0.700
Si  0.970  0.359  0.722
N  0.976  0.595  0.898
Si  0.470  0.641  0.278
Si  0.454  0.831  0.563
N  0.975  0.934  0.318
N  0.411  0.203  0.972
Si  0.968  0.490  0.957
N  0.911  0.797  0.028
N  0.302  0.631  0.072
N  0.806  0.515  0.534
Si  0.959  0.534  0.610
Si  0.960  0.440  0.469
Si  0.725  0.655  0.850
Si  0.459  0.966  0.110
N  0.411  0.703  0.528
Si  0.459  0.466  0.390
Si  0.956  0.302  0.861
Si  0.971  0.080  0.300
N  0.306  0.985  0.034
N  0.408  0.838  0.142
Si  0.470  0.141  0.222
Si  0.471  0.897  0.850
Na  0.945  0.354  0.311
Na  0.945  0.854  0.189
Si  0.468  0.010  0.457
N  0.805  0.434  0.662
N  0.807  0.506  0.400
Si  0.968  0.990  0.543
N  0.300  0.950  0.522
N  0.808  0.099  0.226
N  0.908  0.662  0.642
N  0.911  0.297  0.472
Si  0.460  0.560  0.531
N  0.305  0.566  0.338
N  0.970  0.748  0.376
N  0.408  0.338  0.358
N  0.974  0.716  0.801
Si  0.970  0.859  0.778
N  0.976  0.095  0.602
N  0.805  0.934  0.838
N  0.908  0.162  0.858
Si  0.222  0.155  0.651
N  0.476  0.405  0.102
N  0.308  0.401  0.726
Si  0.956  0.802  0.639
N  0.306  0.485  0.466
N  0.800  0.550  0.022
N  0.970  0.248  0.124
Si  0.454  0.331  0.937
Si  0.971  0.603  0.350
Na  0.936  0.716  0.492
Si  0.460  0.060  0.969
N  0.307  0.994  0.900
N  0.474  0.784  0.301
N  0.470  0.252  0.624
Si  0.971  0.580  0.200
N  0.302  0.131  0.428
N  0.974  0.216  0.699
N  0.300  0.450  0.978
N  0.305  0.066  0.162
N  0.807  0.006  0.100
N  0.305  0.842  0.641
N  0.805  0.872  0.706
N  0.808  0.599  0.274
Na  0.936  0.216  0.008
Si  0.954  0.669  0.063
N  0.806  0.015  0.966
Si  0.960  0.940  0.031
N  0.475  0.566  0.818
Si  0.456  0.698  0.139
Si  0.954  0.169  0.437
Si  0.468  0.510  0.043
Si  0.471  0.420  0.800
Si  0.722  0.345  0.151
Si  0.225  0.845  0.350
N  0.800  0.050  0.478
N  0.975  0.434  0.182
Si  0.471  0.397  0.650
N  0.305  0.342  0.859
Na  0.436  0.784  0.992
N  0.802  0.869  0.572
Si  0.971  0.103  0.150
N  0.476  0.905  0.398
Si  0.225  0.345  0.150
N  0.805  0.658  0.141
N  0.475  0.066  0.682
N  0.470  0.752  0.876
N  0.308  0.901  0.774
N  0.805  0.158  0.359
N  0.307  0.494  0.600
N  0.805  0.372  0.794
Si  0.222  0.655  0.849
Na  0.445  0.646  0.689
N  0.474  0.284  0.199
Si  0.959  0.034  0.890
N  0.305  0.128  0.294
Na  0.436  0.284  0.508
N  0.305  0.628  0.206
Si  0.456  0.198  0.361
Na  0.445  0.146  0.811
Si  0.722  0.845  0.349
N  0.802  0.369  0.928

Record 4
Here is CdNi2I after structural relaxation from Alexandria. Energies are from PBE-GGA.

Output
Uncorrected formation energy (meV per atom): 536
DFT total energy (eV per cell): -11.9

Lattice parameters (Å, degrees): 4.607 4.607 4.607 60.00 60.00 60.00
Fractional coordinates of all 4 atoms:
I  0.500  0.500  0.500
Ni  0.750  0.750  0.750
Ni  0.250  0.250  0.250
Cd  0.000  0.000  0.000

Record 5
Here is CePrGa4 after structural relaxation from Alexandria. Energies are from PBE-GGA.

Output
DFT total energy (eV per cell): -26.0
Calculated formation energy (eV per atom): -0.5295

Lattice parameters (Å, degrees): 5.631 5.631 5.631 60.00 60.00 60.00
Fractional coordinates of all 6 atoms:
Ce  0.000  0.000  0.000
Ga  0.626  0.626  0.123
Ga  0.123  0.626  0.626
Pr  0.250  0.250  0.250
Ga  0.626  0.123  0.626
Ga  0.626  0.626  0.626

Record 6
Here is Sm4Dy3Er after structural relaxation from Alexandria. Energies are from PBE-GGA.

Output
DFT total energy (eV per cell): -74.1
Calculated formation energy (eV per atom): 0.0217

Lattice parameters (Å, degrees): 6.302 7.298 11.442 90.00 90.00 90.00
Fractional coordinates of all 16 atoms:
Sm  0.982  0.127  0.751
Dy  0.480  0.378  0.250
Dy  0.980  0.622  0.250
Dy  0.148  0.377  0.500
Sm  0.982  0.127  0.249
Sm  0.648  0.127  0.500
Dy  0.980  0.622  0.750
Sm  0.147  0.873  0.500
Sm  0.482  0.873  0.251
Dy  0.648  0.623  0.000
Er  0.148  0.378  0.000
Er  0.648  0.622  0.500
Sm  0.647  0.127  0.000
Sm  0.148  0.873  0.000
Dy  0.480  0.378  0.750
Sm  0.482  0.873  0.749